The following is a DFT calculation (GGA-PBEsol) of a geometry-optimized RbAg3N structure.

Results
- N(E_F) (states/eV per atom) = 1.006
- formation energy without anion corrections (eV per atom) = 2.370
- energy (eV per cell) = -7.64
- space-group type = Pm-3m

Lattice parameters (Å, degrees): 6.202 6.202 6.202 90.00 90.00 90.00
Element x y z (fractional)
Ag 0.500 0.000 0.000
Ag 0.000 0.000 0.500
Ag 0.000 0.500 0.000
Rb 0.000 0.000 0.000
N 0.500 0.500 0.500